No. 1
Density functional theory data (PBEsol) for an optimized crystal structure of Al2FeTe.

Results
- Crystal system: monoclinic
- Raw formation energy: -0.07 eV per formula unit

CIF file:
```
data_Al2FeTe
_chemical_formula_sum 'Al4 Fe2 Te2'
_cell_length_a 8.570
_cell_length_b 2.968
_cell_length_c 6.107
_cell_angle_alpha 90.00
_cell_angle_beta 110.15
_cell_angle_gamma 90.00
_space_group_name_H-M_alt 'C 1 m 1'
_space_group_IT_number 8
_space_group_name_Hall 'C -2y'
loop_
_atom_site_label
_atom_site_type_symbol
_atom_site_fract_x
_atom_site_fract_y
_atom_site_fract_z
Al1 Al 0.000 0.000 0.000
Al2 Al 0.206 0.000 0.716
Fe1 Fe 0.478 0.000 0.683
Te1 Te 0.347 0.500 0.337
```

***

No. 2
Density functional theory data (PBEsol) for an optimized crystal structure of Li2TlAs2.

Results
- Crystal system: tetragonal
- Polymorph energy (0 for the lowest one): 0.012 eV per atom

CIF file:
```
data_Li2TlAs2
_chemical_formula_sum 'Li4 Tl2 As4'
_cell_length_a 8.076
_cell_length_b 8.076
_cell_length_c 2.873
_cell_angle_alpha 90.00
_cell_angle_beta 90.00
_cell_angle_gamma 90.00
_space_group_name_H-M_alt 'P 4/m b m'
_space_group_IT_number 127
_space_group_name_Hall '-P 4 2ab'
loop_
_atom_site_label
_atom_site_type_symbol
_atom_site_fract_x
_atom_site_fract_y
_atom_site_fract_z
Li1 Li 0.127 0.373 0.000
Tl1 Tl 0.000 0.000 0.500
As1 As 0.167 0.667 0.500
```

***

No. 3
Density functional theory data (PBEsol) for an optimized crystal structure of RbBaH2.

Results
- Crystal system: tetragonal
- Calculated total energy: -2.5616 eV per atom

CIF file:
```
data_RbBaH2
_chemical_formula_sum 'Rb4 Ba4 H8'
_cell_length_a 6.299
_cell_length_b 6.299
_cell_length_c 12.704
_cell_angle_alpha 90.00
_cell_angle_beta 90.00
_cell_angle_gamma 90.00
_space_group_name_H-M_alt 'I -4 2 d'
_space_group_IT_number 122
_space_group_name_Hall 'I -4 2bw'
loop_
_atom_site_label
_atom_site_type_symbol
_atom_site_fract_x
_atom_site_fract_y
_atom_site_fract_z
Rb1 Rb 0.000 0.000 0.000
Ba1 Ba 0.000 0.000 0.500
H1 H 0.182 0.250 0.625
```

***

No. 4
Density functional theory data (PBEsol) for an optimized crystal structure of LiLa2Ag.

Results
- Crystal system: tetragonal
- Polymorph energy (0 for the lowest one): 0.020 eV per atom

CIF file:
```
data_LiLa2Ag
_chemical_formula_sum 'Li1 La2 Ag1'
_cell_length_a 3.875
_cell_length_b 3.875
_cell_length_c 7.320
_cell_angle_alpha 90.00
_cell_angle_beta 90.00
_cell_angle_gamma 90.00
_space_group_name_H-M_alt 'P 4/m m m'
_space_group_IT_number 123
_space_group_name_Hall '-P 4 2'
loop_
_atom_site_label
_atom_site_type_symbol
_atom_site_fract_x
_atom_site_fract_y
_atom_site_fract_z
Li1 Li 0.000 0.000 0.000
La1 La 0.500 0.500 0.273
Ag1 Ag 0.000 0.000 0.500
```

***

No. 5
Density functional theory data (PBEsol) for an optimized crystal structure of SnCSN2.

Results
- Crystal system: tetragonal
- Raw formation energy: 8.86 eV per formula unit

CIF file:
```
data_SnCSN2
_chemical_formula_sum 'Sn1 C1 S1 N2'
_cell_length_a 3.684
_cell_length_b 3.684
_cell_length_c 3.890
_cell_angle_alpha 90.00
_cell_angle_beta 90.00
_cell_angle_gamma 90.00
_space_group_name_H-M_alt 'P 4/m m m'
_space_group_IT_number 123
_space_group_name_Hall '-P 4 2'
loop_
_atom_site_label
_atom_site_type_symbol
_atom_site_fract_x
_atom_site_fract_y
_atom_site_fract_z
Sn1 Sn 0.000 0.000 0.000
C1 C 0.500 0.500 0.500
S1 S 0.500 0.500 0.000
N1 N 0.000 0.500 0.500
```

***

No. 6
Density functional theory data (PBEsol) for an optimized crystal structure of BiRuCl2.

Results
- Crystal system: tetragonal
- Raw formation energy: 0.30 eV per formula unit
- Polymorph energy (0 for the lowest one): 0.000 eV per atom

CIF file:
```
data_BiRuCl2
_chemical_formula_sum 'Bi4 Ru4 Cl8'
_cell_length_a 8.104
_cell_length_b 8.104
_cell_length_c 5.320
_cell_angle_alpha 90.00
_cell_angle_beta 90.00
_cell_angle_gamma 90.00
_space_group_name_H-M_alt 'I -4 2 d'
_space_group_IT_number 122
_space_group_name_Hall 'I -4 2bw'
loop_
_atom_site_label
_atom_site_type_symbol
_atom_site_fract_x
_atom_site_fract_y
_atom_site_fract_z
Bi1 Bi 0.000 0.000 0.000
Ru1 Ru 0.000 0.000 0.500
Cl1 Cl 0.136 0.250 0.625
```

***

No. 7
Density functional theory data (PBEsol) for an optimized crystal structure of LaCu2Ir.

Results
- Crystal system: monoclinic
- Polymorph energy (0 for the lowest one): 0.000 eV per atom

CIF file:
```
data_LaCu2Ir
_chemical_formula_sum 'La2 Cu4 Ir2'
_cell_length_a 8.234
_cell_length_b 3.922
_cell_length_c 4.769
_cell_angle_alpha 90.00
_cell_angle_beta 110.06
_cell_angle_gamma 90.00
_space_group_name_H-M_alt 'C 1 2/m 1'
_space_group_IT_number 12
_space_group_name_Hall '-C 2y'
loop_
_atom_site_label
_atom_site_type_symbol
_atom_site_fract_x
_atom_site_fract_y
_atom_site_fract_z
La1 La 0.000 0.000 0.000
Cu1 Cu 0.216 0.000 0.616
Ir1 Ir 0.000 0.500 0.500
```

***

No. 8
Density functional theory data (PBEsol) for an optimized crystal structure of Au3C.

Results
- Crystal system: orthorhombic
- Polymorph energy (0 for the lowest one): 0.036 eV per atom

CIF file:
```
data_Au3C
_chemical_formula_sum 'Au6 C2'
_cell_length_a 2.904
_cell_length_b 7.818
_cell_length_c 5.341
_cell_angle_alpha 90.00
_cell_angle_beta 90.00
_cell_angle_gamma 90.00
_space_group_name_H-M_alt 'I m m 2'
_space_group_IT_number 44
_space_group_name_Hall 'I 2 -2'
loop_
_atom_site_label
_atom_site_type_symbol
_atom_site_fract_x
_atom_site_fract_y
_atom_site_fract_z
Au1 Au 0.000 0.000 0.000
Au2 Au 0.000 0.188 0.494
C1 C 0.000 0.500 0.130
```

***

No. 9
Density functional theory data (PBEsol) for an optimized crystal structure of ZnRh2Br.

Results
- Crystal system: orthorhombic
- Raw formation energy: 1.35 eV per formula unit
- Polymorph energy (0 for the lowest one): 0.141 eV per atom

CIF file:
```
data_ZnRh2Br
_chemical_formula_sum 'Zn2 Rh4 Br2'
_cell_length_a 2.853
_cell_length_b 4.957
_cell_length_c 8.611
_cell_angle_alpha 90.00
_cell_angle_beta 90.00
_cell_angle_gamma 90.00
_space_group_name_H-M_alt 'I m m m'
_space_group_IT_number 71
_space_group_name_Hall '-I 2 2'
loop_
_atom_site_label
_atom_site_type_symbol
_atom_site_fract_x
_atom_site_fract_y
_atom_site_fract_z
Zn1 Zn 0.000 0.000 0.000
Rh1 Rh 0.000 0.500 0.251
Br1 Br 0.000 0.000 0.500
```

***

No. 10
Density functional theory data (PBEsol) for an optimized crystal structure of GeTe3Se.

Results
- Crystal system: cubic
- Raw formation energy: 3.33 eV per formula unit

CIF file:
```
data_GeTe3Se
_chemical_formula_sum 'Ge1 Te3 Se1'
_cell_length_a 5.268
_cell_length_b 5.268
_cell_length_c 5.268
_cell_angle_alpha 90.00
_cell_angle_beta 90.00
_cell_angle_gamma 90.00
_space_group_name_H-M_alt 'P m -3 m'
_space_group_IT_number 221
_space_group_name_Hall '-P 4 2 3'
loop_
_atom_site_label
_atom_site_type_symbol
_atom_site_fract_x
_atom_site_fract_y
_atom_site_fract_z
Ge1 Ge 0.000 0.000 0.000
Te1 Te 0.000 0.000 0.500
Se1 Se 0.500 0.500 0.500
```

***

No. 11
Density functional theory data (PBEsol) for an optimized crystal structure of MnFe.

Results
- Crystal system: monoclinic
- Calculated total energy: -9.3766 eV per atom

CIF file:
```
data_MnFe
_chemical_formula_sum 'Mn6 Fe6'
_cell_length_a 8.853
_cell_length_b 2.433
_cell_length_c 5.734
_cell_angle_alpha 90.00
_cell_angle_beta 103.84
_cell_angle_gamma 90.00
_space_group_name_H-M_alt 'C 1 m 1'
_space_group_IT_number 8
_space_group_name_Hall 'C -2y'
loop_
_atom_site_label
_atom_site_type_symbol
_atom_site_fract_x
_atom_site_fract_y
_atom_site_fract_z
Mn1 Mn 0.000 0.000 0.000
Mn2 Mn 0.056 0.000 0.615
Mn3 Mn 0.385 0.000 0.282
Fe1 Fe 0.166 0.500 0.335
Fe2 Fe 0.223 0.500 0.946
Fe3 Fe 0.331 0.000 0.669
```

***

No. 12
Density functional theory data (PBEsol) for an optimized crystal structure of Tl2CrHgH.

Results
- Crystal system: tetragonal
- Calculated total energy: -3.3117 eV per atom

CIF file:
```
data_Tl2CrHgH
_chemical_formula_sum 'Tl2 Cr1 Hg1 H1'
_cell_length_a 5.119
_cell_length_b 5.119
_cell_length_c 3.751
_cell_angle_alpha 90.00
_cell_angle_beta 90.00
_cell_angle_gamma 90.00
_space_group_name_H-M_alt 'P 4/m m m'
_space_group_IT_number 123
_space_group_name_Hall '-P 4 2'
loop_
_atom_site_label
_atom_site_type_symbol
_atom_site_fract_x
_atom_site_fract_y
_atom_site_fract_z
Tl1 Tl 0.000 0.500 0.000
Cr1 Cr 0.000 0.000 0.500
Hg1 Hg 0.500 0.500 0.500
H1 H 0.500 0.500 0.000
```

***

No. 13
Density functional theory data (PBEsol) for an optimized crystal structure of CaRh2Au.

Results
- Crystal system: orthorhombic
- Calculated total energy: -5.6454 eV per atom

CIF file:
```
data_CaRh2Au
_chemical_formula_sum 'Ca1 Rh2 Au1'
_cell_length_a 3.010
_cell_length_b 4.603
_cell_length_c 4.750
_cell_angle_alpha 90.00
_cell_angle_beta 90.00
_cell_angle_gamma 90.00
_space_group_name_H-M_alt 'P m m m'
_space_group_IT_number 47
_space_group_name_Hall '-P 2 2'
loop_
_atom_site_label
_atom_site_type_symbol
_atom_site_fract_x
_atom_site_fract_y
_atom_site_fract_z
Ca1 Ca 0.000 0.000 0.000
Rh1 Rh 0.000 0.500 0.500
Rh2 Rh 0.500 0.500 0.000
Au1 Au 0.500 0.000 0.500
```

***

No. 14
Density functional theory data (PBEsol) for an optimized crystal structure of Ni3S2.

Results
- Crystal system: trigonal
- Raw formation energy: -2.29 eV per formula unit

CIF file:
```
data_Ni3S2
_chemical_formula_sum 'Ni9 S6'
_cell_length_a 5.6315
_cell_length_b 5.6315
_cell_length_c 6.9930
_cell_angle_alpha 90.00
_cell_angle_beta 90.00
_cell_angle_gamma 120.00
_space_group_name_H-M_alt 'R 3 2'
_space_group_IT_number 155
_space_group_name_Hall 'R 3 2"'
loop_
_atom_site_label
_atom_site_type_symbol
_atom_site_fract_x
_atom_site_fract_y
_atom_site_fract_z
Ni1 Ni 0.0000 0.2552 0.0000
S1 S 0.0000 0.0000 0.2474
```

***

No. 15
Density functional theory data (PBEsol) for an optimized crystal structure of CoRe2H.

Results
- Crystal system: tetragonal
- Calculated total energy: -9.0513 eV per atom

CIF file:
```
data_CoRe2H
_chemical_formula_sum 'Co4 Re8 H4'
_cell_length_a 5.791
_cell_length_b 5.791
_cell_length_c 5.089
_cell_angle_alpha 90.00
_cell_angle_beta 90.00
_cell_angle_gamma 90.00
_space_group_name_H-M_alt 'I -4 2 d'
_space_group_IT_number 122
_space_group_name_Hall 'I -4 2bw'
loop_
_atom_site_label
_atom_site_type_symbol
_atom_site_fract_x
_atom_site_fract_y
_atom_site_fract_z
Co1 Co 0.000 0.000 0.000
Re1 Re 0.170 0.750 0.625
H1 H 0.000 0.000 0.500
```

***

No. 16
Density functional theory data (PBEsol) for an optimized crystal structure of In2Te3.

Results
- Crystal system: trigonal
- Raw formation energy: -0.23 eV per formula unit

CIF file:
```
data_In2Te3
_chemical_formula_sum 'In2 Te3'
_cell_length_a 4.4375
_cell_length_b 4.4375
_cell_length_c 10.5461
_cell_angle_alpha 90.00
_cell_angle_beta 90.00
_cell_angle_gamma 120.00
_space_group_name_H-M_alt 'P 3 m 1'
_space_group_IT_number 156
_space_group_name_Hall 'P 3 -2"'
loop_
_atom_site_label
_atom_site_type_symbol
_atom_site_fract_x
_atom_site_fract_y
_atom_site_fract_z
In1 In 0.0000 0.0000 0.0000
In2 In 0.3333 0.6667 0.5881
Te1 Te 0.0000 0.0000 0.7205
Te2 Te 0.3333 0.6667 0.3355
Te3 Te 0.6667 0.3333 0.1231
```

***

No. 17
Density functional theory data (PBEsol) for an optimized crystal structure of Ho6Co2Sn.

Results
- Crystal system: orthorhombic
- Calculated total energy: -5.8536 eV per atom

CIF file:
```
data_Ho6Co2Sn
_chemical_formula_sum 'Ho24 Co8 Sn4'
_cell_length_a 9.178
_cell_length_b 9.428
_cell_length_c 9.735
_cell_angle_alpha 90.00
_cell_angle_beta 90.00
_cell_angle_gamma 90.00
_space_group_name_H-M_alt 'I m m m'
_space_group_IT_number 71
_space_group_name_Hall '-I 2 2'
loop_
_atom_site_label
_atom_site_type_symbol
_atom_site_fract_x
_atom_site_fract_y
_atom_site_fract_z
Ho1 Ho 0.000 0.208 0.237
Ho2 Ho 0.187 0.500 0.176
Ho3 Ho 0.215 0.316 0.500
Co1 Co 0.000 0.342 0.000
Co2 Co 0.000 0.500 0.386
Sn1 Sn 0.000 0.000 0.000
Sn2 Sn 0.000 0.000 0.500
```

***

No. 18
Density functional theory data (PBEsol) for an optimized crystal structure of K3Ba.

Results
- Crystal system: monoclinic
- Calculated total energy: -1.2869 eV per atom

CIF file:
```
data_K3Ba
_chemical_formula_sum 'K6 Ba2'
_cell_length_a 15.253
_cell_length_b 4.450
_cell_length_c 8.018
_cell_angle_alpha 90.00
_cell_angle_beta 99.09
_cell_angle_gamma 90.00
_space_group_name_H-M_alt 'C 1 2/m 1'
_space_group_IT_number 12
_space_group_name_Hall '-C 2y'
loop_
_atom_site_label
_atom_site_type_symbol
_atom_site_fract_x
_atom_site_fract_y
_atom_site_fract_z
K1 K 0.000 0.000 0.000
K2 K 0.248 0.500 0.251
Ba1 Ba 0.000 0.500 0.500
```

***

No. 19
Density functional theory data (PBEsol) for an optimized crystal structure of MnSb2Cl.

Results
- Crystal system: cubic
- Raw formation energy: 1.01 eV per formula unit
- Polymorph energy (0 for the lowest one): 0.290 eV per atom

CIF file:
```
data_MnSb2Cl
_chemical_formula_sum 'Mn4 Sb8 Cl4'
_cell_length_a 7.067
_cell_length_b 7.067
_cell_length_c 7.067
_cell_angle_alpha 90.00
_cell_angle_beta 90.00
_cell_angle_gamma 90.00
_space_group_name_H-M_alt 'F -4 3 m'
_space_group_IT_number 216
_space_group_name_Hall 'F -4 2 3'
loop_
_atom_site_label
_atom_site_type_symbol
_atom_site_fract_x
_atom_site_fract_y
_atom_site_fract_z
Mn1 Mn 0.000 0.000 0.000
Sb1 Sb 0.000 0.000 0.500
Sb2 Sb 0.250 0.250 0.250
Cl1 Cl 0.250 0.250 0.750
```

***

No. 20
Density functional theory data (PBEsol) for an optimized crystal structure of NaCa3Pt.

Results
- Crystal system: cubic
- Polymorph energy (0 for the lowest one): 0.020 eV per atom

CIF file:
```
data_NaCa3Pt
_chemical_formula_sum 'Na1 Ca3 Pt1'
_cell_length_a 5.584
_cell_length_b 5.584
_cell_length_c 5.584
_cell_angle_alpha 90.00
_cell_angle_beta 90.00
_cell_angle_gamma 90.00
_space_group_name_H-M_alt 'P m -3 m'
_space_group_IT_number 221
_space_group_name_Hall '-P 4 2 3'
loop_
_atom_site_label
_atom_site_type_symbol
_atom_site_fract_x
_atom_site_fract_y
_atom_site_fract_z
Na1 Na 0.000 0.000 0.000
Ca1 Ca 0.000 0.500 0.500
Pt1 Pt 0.500 0.500 0.500
```

***

no.,calculated volume (Å³/atom)
1,18.23
2,18.74
3,31.50
4,27.48
5,10.56
6,21.83
7,18.08
8,15.16
9,15.22
10,29.24
11,10.00
12,19.65
13,16.46
14,12.80
15,10.67
16,35.97
17,23.40
18,67.17
19,22.06
20,34.82